Version A
The following is a DFT calculation (PBE-GGA) of crystalline TmBePO at its relaxed geometry.

volume	126.2	Å³ per cell

Cell lengths 4.0819, 5.7591, 5.3685 Å; angles 90.00, 90.00, 90.00 degrees
Closest atoms and distances in Å follow each position.
Positions (direct):
Tm  0.0000  0.2476  0.0000  2 O 2.20
Tm  0.0000  0.7524  0.5000  2 O 2.20
Be  0.5000  0.3850  0.6237  2 O 1.67-1.71
Be  0.5000  0.6150  0.1237  2 O 1.67-1.71
P  0.0000  0.2314  0.5069  2 Be 2.31
P  0.0000  0.7686  0.0069  2 Be 2.31
O  0.5000  0.3801  0.9424  2 Be 1.67-1.71
O  0.5000  0.6199  0.4424  2 Be 1.67-1.71


Version B
The following is a DFT calculation (PBE-GGA) of crystalline TmBePO at its relaxed geometry.

volume	113.6	Å³ per cell

Cell lengths 3.7051, 3.7051, 8.2755 Å; angles 90.00, 90.00, 90.00 degrees
Closest atoms and distances in Å follow each position.
Positions (direct):
Tm  0.2500  0.2500  0.1369  4 O 2.17
Tm  0.7500  0.7500  0.8631  4 O 2.17
Be  0.2500  0.7500  0.5000  4 P 2.24
Be  0.7500  0.2500  0.5000  4 P 2.24
P  0.2500  0.2500  0.6524  4 Be 2.24
P  0.7500  0.7500  0.3476  4 Be 2.24
O  0.2500  0.7500  0.0000  4 Tm 2.17
O  0.7500  0.2500  0.0000  4 Tm 2.17


Most stable: version B. Least stable: version A.


Version A
The following is a DFT calculation (PBE-GGA) of crystalline TmBePO at its relaxed geometry.

volume	111.8	Å³ per cell

Cell lengths 3.0837, 5.6030, 6.4718 Å; angles 90.00, 90.00, 90.00 degrees
Closest atoms and distances in Å follow each position.
Positions (direct):
Tm  0.0000  0.2213  0.0000  2 O 2.20-2.24
Tm  0.0000  0.7787  0.5000  2 O 2.20-2.24
Be  0.5000  0.2593  0.3783  2 O 1.75
Be  0.5000  0.7407  0.8783  2 O 1.75
P  0.5000  0.4079  0.6838  2 Be 2.14-2.25
P  0.5000  0.5921  0.1838  2 Be 2.14-2.25
O  0.0000  0.1220  0.3354  2 Be 1.75
O  0.0000  0.8780  0.8354  2 Be 1.75


Version B
The following is a DFT calculation (PBE-GGA) of crystalline TmBePO at its relaxed geometry.

volume	139.2	Å³ per cell

Cell lengths 3.9275, 3.9275, 9.0221 Å; angles 90.00, 90.00, 90.00 degrees
Closest atoms and distances in Å follow each position.
Positions (direct):
Tm  0.2500  0.7500  0.0000  4 P 2.63, 4 Tm 2.78
Tm  0.7500  0.2500  0.0000  4 P 2.63, 4 Tm 2.78
Be  0.2500  0.2500  0.4908  4 O 1.97
Be  0.7500  0.7500  0.5092  4 O 1.97
P  0.2500  0.2500  0.1945  4 Tm 2.63, 1 Be 2.67
P  0.7500  0.7500  0.8055  4 Tm 2.63, 1 Be 2.67
O  0.2500  0.7500  0.5000  4 Be 1.97
O  0.7500  0.2500  0.5000  4 Be 1.97


Most stable: version A. Least stable: version B.


Version A
The following is a DFT calculation (PBE-GGA) of crystalline BeZnPO at its relaxed geometry.

volume	105.8	Å³ per cell

Cell lengths 3.4778, 3.4778, 8.7458 Å; angles 90.00, 90.00, 90.00 degrees
Closest atoms and distances in Å follow each position.
Positions (direct):
Be  0.2500  0.2500  0.0133  4 O 1.74
Be  0.7500  0.7500  0.9867  4 O 1.74
Zn  0.2500  0.7500  0.5000  4 P 2.42, 4 Zn 2.46
Zn  0.7500  0.2500  0.5000  4 P 2.42, 4 Zn 2.46
P  0.2500  0.2500  0.3082  4 Zn 2.42, 1 Be 2.58
P  0.7500  0.7500  0.6918  4 Zn 2.42, 1 Be 2.58
O  0.2500  0.7500  0.0000  4 Be 1.74
O  0.7500  0.2500  0.0000  4 Be 1.74


Version B
The following is a DFT calculation (PBE-GGA) of crystalline BeZnPO at its relaxed geometry.

volume	99.7	Å³ per cell

Cell lengths 2.9351, 6.4072, 5.3002 Å; angles 90.00, 90.00, 90.00 degrees
Closest atoms and distances in Å follow each position.
Positions (direct):
Be  0.0000  0.0965  0.0000  2 O 1.59-1.60
Be  0.0000  0.9035  0.5000  2 O 1.59-1.60
Zn  0.5000  0.3017  0.4017  2 O 2.07
Zn  0.5000  0.6983  0.9017  2 O 2.07
P  0.5000  0.3368  0.8434  2 Be 2.28, 2 Zn 2.34-2.35
P  0.5000  0.6632  0.3434  2 Be 2.28, 2 Zn 2.34-2.35
O  0.0000  0.0902  0.3021  2 Be 1.59-1.60
O  0.0000  0.9098  0.8021  2 Be 1.59-1.60


Most stable: version B. Least stable: version A.


Version A
The following is a DFT calculation (PBE-GGA) of crystalline BeZnPO at its relaxed geometry.

volume	98.1	Å³ per cell

Cell lengths 2.7007, 6.1786, 5.8768 Å; angles 90.00, 90.00, 90.00 degrees
Closest atoms and distances in Å follow each position.
Positions (direct):
Be  0.0000  0.2182  0.0000  2 O 1.61
Be  0.0000  0.7818  0.5000  2 O 1.61
Zn  0.5000  0.3596  0.5833  2 O 2.03-2.04
Zn  0.5000  0.6404  0.0833  2 O 2.03-2.04
P  0.0000  0.1193  0.3607  2 Be 2.21-2.24, 2 Zn 2.40
P  0.0000  0.8807  0.8607  2 Be 2.21-2.24, 2 Zn 2.40
O  0.5000  0.3443  0.9286  2 Be 1.61
O  0.5000  0.6557  0.4286  2 Be 1.61


Version B
The following is a DFT calculation (PBE-GGA) of crystalline BeZnPO at its relaxed geometry.

volume	108.7	Å³ per cell

Cell lengths 3.4595, 3.4595, 9.0850 Å; angles 90.00, 90.00, 90.00 degrees
Closest atoms and distances in Å follow each position.
Positions (direct):
Be  0.2500  0.2500  0.0095  4 O 1.73
Be  0.7500  0.7500  0.9905  4 O 1.73
Zn  0.2500  0.7500  0.5000  4 P 2.43, 4 Zn 2.45
Zn  0.7500  0.2500  0.5000  4 P 2.43, 4 Zn 2.45
P  0.2500  0.2500  0.3121  4 Zn 2.43
P  0.7500  0.7500  0.6879  4 Zn 2.43
O  0.2500  0.7500  0.0000  4 Be 1.73
O  0.7500  0.2500  0.0000  4 Be 1.73


Version C
The following is a DFT calculation (PBE-GGA) of crystalline BeZnPO at its relaxed geometry.

volume	112.4	Å³ per cell

Cell lengths 3.7520, 3.7520, 7.9826 Å; angles 90.00, 90.00, 90.00 degrees
Closest atoms and distances in Å follow each position.
Positions (direct):
Be  0.2500  0.7500  0.0000  4 P 2.20
Be  0.7500  0.2500  0.0000  4 P 2.20
Zn  0.2500  0.2500  0.4221  4 O 1.98
Zn  0.7500  0.7500  0.5779  4 O 1.98
P  0.2500  0.2500  0.8552  4 Be 2.20
P  0.7500  0.7500  0.1448  4 Be 2.20
O  0.2500  0.7500  0.5000  4 Zn 1.98
O  0.7500  0.2500  0.5000  4 Zn 1.98


Most stable: version A. Least stable: version C.


Version A
The following is a DFT calculation (PBE-GGA) of crystalline BePdSeO at its relaxed geometry.

volume	114.6	Å³ per cell

Cell lengths 3.7706, 3.7706, 8.0579 Å; angles 90.00, 90.00, 90.00 degrees
Closest atoms and distances in Å follow each position.
Positions (direct):
Be  0.2500  0.2500  0.1477  1 O 1.51
Be  0.7500  0.7500  0.8523  1 O 1.51
Pd  0.2500  0.7500  0.5000  4 O 2.30
Pd  0.7500  0.2500  0.5000  4 O 2.30
Se  0.2500  0.2500  0.8705  1 Be 2.23
Se  0.7500  0.7500  0.1295  1 Be 2.23
O  0.2500  0.2500  0.3354  1 Be 1.51
O  0.7500  0.7500  0.6646  1 Be 1.51


Version B
The following is a DFT calculation (PBE-GGA) of crystalline BePdSeO at its relaxed geometry.

volume	452.0	Å³ per cell

Cell lengths 5.0682, 16.8165, 5.3032 Å; angles 90.00, 90.00, 90.00 degrees
Closest atoms and distances in Å follow each position.
Positions (direct):
Be  0.0484  0.2479  0.1240  3 O 1.59-1.65
Be  0.0484  0.2521  0.6240  3 O 1.59-1.65
Be  0.4516  0.7479  0.1240  3 O 1.59-1.65
Be  0.4516  0.7521  0.6240  3 O 1.59-1.65
Be  0.5484  0.2479  0.3760  3 O 1.59-1.65
Be  0.5484  0.2521  0.8760  3 O 1.59-1.65
Be  0.9516  0.7479  0.3760  3 O 1.59-1.65
Be  0.9516  0.7521  0.8760  3 O 1.59-1.65
Pd  0.2490  0.0751  0.1673  4 Se 2.55-2.73, 2 Pd 2.68
Pd  0.2490  0.4249  0.6673  4 Se 2.55-2.73, 2 Pd 2.68
Pd  0.2510  0.5751  0.1673  4 Se 2.55-2.73, 2 Pd 2.68
Pd  0.2510  0.9249  0.6673  4 Se 2.55-2.73, 2 Pd 2.68
Pd  0.7490  0.0751  0.3327  4 Se 2.55-2.73, 2 Pd 2.68
Pd  0.7490  0.4249  0.8327  4 Se 2.55-2.73, 2 Pd 2.68
Pd  0.7510  0.5751  0.3327  4 Se 2.55-2.73, 2 Pd 2.68
Pd  0.7510  0.9249  0.8327  4 Se 2.55-2.73, 2 Pd 2.68
Se  0.0060  0.5646  0.7468  2 Se 2.53, 4 Pd 2.55-2.73
Se  0.0060  0.9354  0.2468  2 Se 2.53, 4 Pd 2.55-2.73
Se  0.4940  0.0646  0.7468  2 Se 2.53, 4 Pd 2.55-2.73
Se  0.4940  0.4354  0.2468  2 Se 2.53, 4 Pd 2.55-2.73
Se  0.5060  0.5646  0.7532  2 Se 2.53, 4 Pd 2.55-2.73
Se  0.5060  0.9354  0.2532  2 Se 2.53, 4 Pd 2.55-2.73
Se  0.9940  0.0646  0.7532  2 Se 2.53, 4 Pd 2.55-2.73
Se  0.9940  0.4354  0.2532  2 Se 2.53, 4 Pd 2.55-2.73
O  0.2223  0.2463  0.3738  3 Be 1.59-1.65
O  0.2223  0.2537  0.8738  3 Be 1.59-1.65
O  0.2777  0.7463  0.3738  3 Be 1.59-1.65
O  0.2777  0.7537  0.8738  3 Be 1.59-1.65
O  0.7223  0.2463  0.1262  3 Be 1.59-1.65
O  0.7223  0.2537  0.6262  3 Be 1.59-1.65
O  0.7777  0.7463  0.1262  3 Be 1.59-1.65
O  0.7777  0.7537  0.6262  3 Be 1.59-1.65


Version C
The following is a DFT calculation (PBE-GGA) of crystalline BePdSeO at its relaxed geometry.

volume	248.6	Å³ per cell

Cell lengths 4.7798, 6.9095, 7.5277 Å; angles 90.00, 90.00, 90.00 degrees
Closest atoms and distances in Å follow each position.
Positions (direct):
Be  0.1135  0.2100  0.0641  2 O 1.50-1.51
Be  0.3865  0.7900  0.5641  2 O 1.50-1.51
Be  0.6135  0.2900  0.9359  2 O 1.50-1.51
Be  0.8865  0.7100  0.4359  2 O 1.50-1.51
Pd  0.0461  0.7470  0.8728  1 O 2.14
Pd  0.4539  0.2530  0.3728  1 O 2.14
Pd  0.5461  0.7530  0.1272  1 O 2.14
Pd  0.9539  0.2470  0.6272  1 O 2.14
Se  0.0551  0.8657  0.1723  2 Be 2.40-2.53, 3 Pd 2.40-2.58
Se  0.4449  0.1343  0.6723  2 Be 2.40-2.53, 3 Pd 2.40-2.58
Se  0.5551  0.6343  0.8277  2 Be 2.40-2.53, 3 Pd 2.40-2.58
Se  0.9449  0.3657  0.3277  2 Be 2.40-2.53, 3 Pd 2.40-2.58
O  0.0817  0.7408  0.5899  2 Be 1.50-1.51
O  0.4183  0.2592  0.0899  2 Be 1.50-1.51
O  0.5817  0.7592  0.4101  2 Be 1.50-1.51
O  0.9183  0.2408  0.9101  2 Be 1.50-1.51


Most stable: version B. Least stable: version A.


Version A
The following is a DFT calculation (PBE-GGA) of crystalline BePdSeO at its relaxed geometry.

volume	239.3	Å³ per cell

Cell lengths 5.9631, 6.8857, 5.8275 Å; angles 90.00, 90.00, 90.00 degrees
Closest atoms and distances in Å follow each position.
Positions (direct):
Be  0.0966  0.1589  0.0000  1 O 1.53
Be  0.4034  0.1589  0.5000  1 O 1.53
Be  0.5966  0.8411  0.0000  1 O 1.53
Be  0.9034  0.8411  0.5000  1 O 1.53
Pd  0.2313  0.6608  0.8512  2 O 2.00-2.03
Pd  0.2687  0.6608  0.3512  2 O 2.00-2.03
Pd  0.7313  0.3392  0.8512  2 O 2.00-2.03
Pd  0.7687  0.3392  0.3512  2 O 2.00-2.03
Se  0.0372  0.1384  0.6048  3 Be 2.27-2.33
Se  0.4628  0.1384  0.1048  3 Be 2.27-2.33
Se  0.5372  0.8616  0.6048  3 Be 2.27-2.33
Se  0.9628  0.8616  0.1048  3 Be 2.27-2.33
O  0.0178  0.6552  0.5857  1 Be 1.53
O  0.4822  0.6552  0.0857  1 Be 1.53
O  0.5178  0.3448  0.5857  1 Be 1.53
O  0.9822  0.3448  0.0857  1 Be 1.53


Version B
The following is a DFT calculation (PBE-GGA) of crystalline BePdSeO at its relaxed geometry.

volume	216.4	Å³ per cell

Cell lengths 5.6648, 7.0831, 5.3930 Å; angles 90.00, 90.00, 90.00 degrees
Closest atoms and distances in Å follow each position.
Positions (direct):
Be  0.0075  0.0054  0.0000  4 Pd 2.28-2.36
Be  0.4925  0.0054  0.5000  4 Pd 2.28-2.36
Be  0.5075  0.9946  0.0000  4 Pd 2.28-2.36
Be  0.9925  0.9946  0.5000  4 Pd 2.28-2.36
Pd  0.2388  0.8248  0.2508  4 Be 2.28-2.36, 2 O 2.38-2.52
Pd  0.2612  0.8248  0.7508  4 Be 2.28-2.36, 2 O 2.38-2.52
Pd  0.7388  0.1752  0.2508  4 Be 2.28-2.36, 2 O 2.38-2.52
Pd  0.7612  0.1752  0.7508  4 Be 2.28-2.36, 2 O 2.38-2.52
Se  0.1821  0.3195  0.5451  1 O 1.74
Se  0.3179  0.3195  0.0451  1 O 1.74
Se  0.6821  0.6805  0.5451  1 O 1.74
Se  0.8179  0.6805  0.0451  1 O 1.74
O  0.1156  0.5584  0.5308  1 Se 1.74
O  0.3844  0.5584  0.0308  1 Se 1.74
O  0.6156  0.4416  0.5308  1 Se 1.74
O  0.8844  0.4416  0.0308  1 Se 1.74


Version C
The following is a DFT calculation (PBE-GGA) of crystalline BePdSeO at its relaxed geometry.

volume	130.3	Å³ per cell

Cell lengths 4.8050, 4.8050, 5.6419 Å; angles 90.00, 90.00, 90.00 degrees
Closest atoms and distances in Å follow each position.
Positions (direct):
Be  0.2500  0.2500  0.2173  1 O 1.39
Be  0.7500  0.7500  0.7827  1 O 1.39
Pd  0.2500  0.2500  0.8235  1 O 2.03, 1 Be 2.22
Pd  0.7500  0.7500  0.1765  1 O 2.03, 1 Be 2.22
Se  0.2500  0.7500  0.0000  4 Pd 2.60, 4 Be 2.70
Se  0.7500  0.2500  0.0000  4 Pd 2.60, 4 Be 2.70
O  0.2500  0.2500  0.4639  1 Be 1.39
O  0.7500  0.7500  0.5361  1 Be 1.39


Version D
The following is a DFT calculation (PBE-GGA) of crystalline BePdSeO at its relaxed geometry.

volume	241.6	Å³ per cell

Cell lengths 4.9551, 6.1123, 7.9759 Å; angles 90.00, 90.00, 90.00 degrees
Closest atoms and distances in Å follow each position.
Positions (direct):
Be  0.0735  0.2470  0.4184  2 O 1.56-1.57
Be  0.4265  0.7530  0.9184  2 O 1.56-1.57
Be  0.5735  0.2530  0.5816  2 O 1.56-1.57
Be  0.9265  0.7470  0.0816  2 O 1.56-1.57
Pd  0.0003  0.4844  0.7530  2 O 2.13
Pd  0.9997  0.9844  0.7470  2 O 2.13
Pd  0.5003  0.0156  0.2470  2 O 2.13
Pd  0.4997  0.5156  0.2530  2 O 2.13
Se  0.1240  0.7687  0.3280  1 Be 2.20
Se  0.3760  0.2313  0.8280  1 Be 2.20
Se  0.6240  0.7313  0.6720  1 Be 2.20
Se  0.8760  0.2687  0.1720  1 Be 2.20
O  0.1109  0.7380  0.9233  2 Be 1.56-1.57
O  0.3891  0.2620  0.4233  2 Be 1.56-1.57
O  0.6109  0.7620  0.0767  2 Be 1.56-1.57
O  0.8891  0.2380  0.5767  2 Be 1.56-1.57


Most stable: version D. Least stable: version B.


Version A
The following is a DFT calculation (PBE-GGA) of crystalline BePdSeO at its relaxed geometry.

volume	119.4	Å³ per cell

Cell lengths 3.9190, 3.9190, 7.7768 Å; angles 90.00, 90.00, 90.00 degrees
Closest atoms and distances in Å follow each position.
Positions (direct):
Be  0.2500  0.2500  0.1248  1 Se 2.15, 1 Pd 2.25
Be  0.7500  0.7500  0.8752  1 Se 2.15, 1 Pd 2.25
Pd  0.2500  0.2500  0.4147  4 O 2.07, 1 Be 2.25
Pd  0.7500  0.7500  0.5853  4 O 2.07, 1 Be 2.25
Se  0.2500  0.2500  0.8486  1 Be 2.15
Se  0.7500  0.7500  0.1514  1 Be 2.15
O  0.2500  0.7500  0.5000  4 Pd 2.07
O  0.7500  0.2500  0.5000  4 Pd 2.07


Version B
The following is a DFT calculation (PBE-GGA) of crystalline BePdSeO at its relaxed geometry.

volume	109.0	Å³ per cell

Cell lengths 3.9035, 3.9035, 7.1555 Å; angles 90.00, 90.00, 90.00 degrees
Closest atoms and distances in Å follow each position.
Positions (direct):
Be  0.2500  0.7500  0.0000  4 Se 2.30, 4 O 2.53
Be  0.7500  0.2500  0.0000  4 Se 2.30, 4 O 2.53
Pd  0.2500  0.2500  0.4929  1 O 1.92
Pd  0.7500  0.7500  0.5071  1 O 1.92
Se  0.2500  0.2500  0.8307  4 Be 2.30, 1 Pd 2.42
Se  0.7500  0.7500  0.1693  4 Be 2.30, 1 Pd 2.42
O  0.2500  0.2500  0.2250  1 Pd 1.92
O  0.7500  0.7500  0.7750  1 Pd 1.92


Most stable: version A. Least stable: version B.


Version A
The following is a DFT calculation (PBE-GGA) of crystalline Pr2Be2O5 at its relaxed geometry.

volume	95.6	Å³ per cell

Cell lengths 3.6915, 3.6915, 7.0189 Å; angles 90.00, 90.00, 90.00 degrees
Closest atoms and distances in Å follow each position.
Positions (direct):
Pr  0.0000  0.0000  0.0000  12 O 2.61-2.66
Pr  0.0000  0.0000  0.5000  8 O 2.44
Be  0.5000  0.5000  0.2249  1 O 1.58
Be  0.5000  0.5000  0.7751  1 O 1.58
O  0.0000  0.5000  0.2720  2 Be 1.88
O  0.0000  0.5000  0.7280  2 Be 1.88
O  0.5000  0.0000  0.2720  2 Be 1.88
O  0.5000  0.0000  0.7280  2 Be 1.88
O  0.5000  0.5000  0.0000  2 Be 1.58


Version B
The following is a DFT calculation (PBE-GGA) of crystalline Pr2Be2O5 at its relaxed geometry.

volume	137.8	Å³ per cell

Cell lengths 3.8774, 3.8774, 9.1642 Å; angles 90.00, 90.00, 90.00 degrees
Closest atoms and distances in Å follow each position.
Positions (direct):
Pr  0.0000  0.0000  0.2411  5 O 2.24-2.37
Pr  0.0000  0.0000  0.7589  5 O 2.24-2.37
Be  0.5000  0.5000  0.0000  8 O 2.23
Be  0.5000  0.5000  0.5000  4 O 2.74
O  0.0000  0.0000  0.5000  2 Pr 2.37
O  0.0000  0.5000  0.1195  1 O 2.19, 2 Be 2.23, 2 Pr 2.24
O  0.0000  0.5000  0.8805  1 O 2.19, 2 Be 2.23, 2 Pr 2.24
O  0.5000  0.0000  0.1195  1 O 2.19, 2 Be 2.23, 2 Pr 2.24
O  0.5000  0.0000  0.8805  1 O 2.19, 2 Be 2.23, 2 Pr 2.24


Most stable: version A. Least stable: version B.